Compound: CePrNp2As4
Source: the Alexandria database
Functional: PBE
Structure: optimized geometry

Lattice parameters (Å, degrees): 4.182 7.252 7.259 109.42 90.00 90.00
Each line ends with the local moment (μB).
Fractional positions:
Ce1 0.500 0.500 0.000  0.67
Pr1 0.000 0.000 0.000  0.03
Np1 0.500 0.000 0.500  3.75
Np2 0.000 0.500 0.500  3.70
As1 0.500 0.258 0.263  -0.08
As2 0.500 0.742 0.737  -0.08
As3 0.000 0.250 0.740  -0.08
As4 0.000 0.750 0.260  -0.08

Results
Total moment: 8.480 Bohr magnetons per cell
SG: No. 10
Energy of formation from the pure elements: -1063 meV per atom
Calculated volume: 207.6 Å³/cell

***

Compound: Ce2PuNpAs4
Source: the Alexandria database
Functional: PBE
Structure: optimized geometry

Lattice parameters (Å, degrees): 4.180 7.248 7.198 109.55 90.00 90.00
Each line ends with the local moment (μB).
Fractional positions:
Ce1 0.500 0.000 0.500  0.66
Ce2 0.000 0.500 0.500  0.61
Pu1 0.000 0.000 0.000  5.12
Np1 0.500 0.500 0.000  3.74
As1 0.500 0.250 0.244  -0.08
As2 0.500 0.750 0.756  -0.08
As3 0.000 0.254 0.757  -0.08
As4 0.000 0.746 0.243  -0.08

Results
Total moment: 10.564 Bohr magnetons per cell
SG: No. 10
Energy of formation from the pure elements: -1144 meV per atom
Calculated volume: 205.5 Å³/cell

***

Compound: CePuNp2As4
Source: the Alexandria database
Functional: PBE
Structure: optimized geometry

Lattice parameters (Å, degrees): 4.132 7.156 7.212 109.43 90.00 90.00
Each line ends with the local moment (μB).
Fractional positions:
Ce1 0.500 0.500 0.000  -0.36
Pu1 0.000 0.000 0.000  5.12
Np1 0.500 0.000 0.500  -3.66
Np2 0.000 0.500 0.500  -3.70
As1 0.500 0.250 0.254  0.03
As2 0.500 0.750 0.746  0.03
As3 0.000 0.247 0.744  0.05
As4 0.000 0.753 0.256  0.05

Results
Total moment: 2.739 Bohr magnetons per cell
SG: No. 10
Energy of formation from the pure elements: -924 meV per atom
Calculated volume: 201.1 Å³/cell

***

Compound: CePu2Np3As6
Source: the Alexandria database
Functional: PBE
Structure: optimized geometry

Lattice parameters (Å, degrees): 7.163 7.163 7.203 99.54 99.54 119.99
Each line ends with the local moment (μB).
Fractional positions:
Ce1 0.000 0.000 0.000  0.64
Pu1 0.333 0.667 0.000  5.12
Pu2 0.667 0.333 0.000  5.12
Np1 0.165 0.835 0.500  3.70
Np2 0.835 0.165 0.500  3.70
Np3 0.500 0.500 0.500  3.70
As1 0.915 0.578 0.745  -0.11
As2 0.748 0.748 0.254  -0.12
As3 0.085 0.422 0.255  -0.11
As4 0.578 0.915 0.745  -0.11
As5 0.252 0.252 0.746  -0.12
As6 0.422 0.085 0.255  -0.11

Results
Total moment: 22.652 Bohr magnetons per cell
SG: No. 12
Energy of formation from the pure elements: -922 meV per atom
Calculated volume: 302.0 Å³/cell

***

Compound: Ce2NpAs4Rh3
Source: the Alexandria database
Functional: PBE
Structure: optimized geometry

Lattice parameters (Å, degrees): 5.003 5.003 10.762 90.00 90.00 90.00
Each line ends with the local moment (μB).
Fractional positions:
Ce1 0.500 0.000 0.118  0.31
Ce2 0.000 0.500 0.882  0.31
Np1 0.500 0.500 0.500  3.12
As1 0.500 0.500 0.000  -0.02
As2 0.000 0.000 0.000  -0.02
As3 0.500 0.000 0.383  -0.04
As4 0.000 0.500 0.617  -0.04
Rh1 0.000 0.000 0.500  -0.23
Rh2 0.500 0.000 0.608  -0.29
Rh3 0.000 0.500 0.392  -0.29

Results
Total moment: 2.962 Bohr magnetons per cell
SG: No. 115
Energy of formation from the pure elements: -224 meV per atom
Calculated volume: 269.4 Å³/cell

***

Compound: CeNpAsS
Source: the Alexandria database
Functional: PBE
Structure: optimized geometry

Lattice parameters (Å, degrees): 4.097 4.097 6.977 72.93 72.93 60.00
Each line ends with the local moment (μB).
Fractional positions:
Ce1 0.697 0.697 0.908  0.76
Np1 0.190 0.190 0.430  3.87
As1 0.941 0.941 0.176  -0.07
S1 0.448 0.448 0.657  -0.08

Results
Total moment: 5.034 Bohr magnetons per cell
Formation energy from raw total energies: -1.39 eV/atom
SG: No. 160
Calculated volume: 95.4 Å³/cell

***

Compound: CeNp2ScAs4
Source: the Alexandria database
Functional: PBE
Structure: optimized geometry

Lattice parameters (Å, degrees): 4.071 7.088 7.058 109.38 90.00 90.00
Each line ends with the local moment (μB).
Fractional positions:
Ce1 0.000 0.000 0.000  -0.15
Np1 0.500 0.000 0.500  3.72
Np2 0.000 0.500 0.500  -3.63
Sc1 0.500 0.500 0.000  -0.02
As1 0.500 0.260 0.249  0.03
As2 0.500 0.740 0.751  0.03
As3 0.000 0.261 0.756  -0.02
As4 0.000 0.739 0.244  -0.02

Results
Total moment: 0.131 Bohr magnetons per cell
SG: No. 10
Energy of formation from the pure elements: -995 meV per atom
Calculated volume: 192.1 Å³/cell

***

Compound: CeNpSc2As4
Source: the Alexandria database
Functional: PBE
Structure: optimized geometry

Lattice parameters (Å, degrees): 4.026 6.979 6.955 109.56 90.00 90.00
Each line ends with the local moment (μB).
Fractional positions:
Ce1 0.500 0.500 0.000  0.56
Np1 0.000 0.000 0.000  3.70
Sc1 0.500 0.000 0.500  0.03
Sc2 0.000 0.500 0.500  0.01
As1 0.500 0.252 0.266  -0.06
As2 0.500 0.748 0.734  -0.06
As3 0.000 0.241 0.732  -0.03
As4 0.000 0.759 0.268  -0.03

Results
Total moment: 4.449 Bohr magnetons per cell
SG: No. 10
Energy of formation from the pure elements: -1204 meV per atom
Calculated volume: 184.1 Å³/cell

***

Compound: Sr3Ce2NpAs6
Source: the Alexandria database
Functional: PBE
Structure: optimized geometry

Lattice parameters (Å, degrees): 7.472 7.472 7.531 99.52 99.52 120.01
Each line ends with the local moment (μB).
Fractional positions:
Sr1 0.168 0.832 0.500  -0.01
Sr2 0.832 0.168 0.500  -0.01
Sr3 0.500 0.500 0.500  -0.01
Ce1 0.334 0.666 0.000  0.22
Ce2 0.666 0.334 0.000  0.22
Np1 0.000 0.000 0.000  3.38
As1 0.927 0.600 0.782  -0.06
As2 0.746 0.746 0.218  -0.06
As3 0.073 0.400 0.218  -0.06
As4 0.600 0.927 0.782  -0.06
As5 0.254 0.254 0.782  -0.06
As6 0.400 0.073 0.218  -0.06

Results
Total moment: 3.203 Bohr magnetons per cell
SG: No. 12
Energy of formation from the pure elements: -1155 meV per atom
Calculated volume: 343.6 Å³/cell

***

Compound: TbCe2NpAs4
Source: the Alexandria database
Functional: PBE
Structure: optimized geometry

Lattice parameters (Å, degrees): 4.171 7.231 7.204 109.48 90.00 90.00
Each line ends with the local moment (μB).
Fractional positions:
Tb1 0.000 0.000 0.000  0.02
Ce1 0.500 0.000 0.500  0.63
Ce2 0.000 0.500 0.500  0.62
Np1 0.500 0.500 0.000  3.73
As1 0.500 0.250 0.246  -0.04
As2 0.500 0.750 0.754  -0.04
As3 0.000 0.253 0.756  -0.06
As4 0.000 0.747 0.244  -0.06

Results
Total moment: 5.314 Bohr magnetons per cell
SG: No. 10
Energy of formation from the pure elements: -1267 meV per atom
Calculated volume: 204.9 Å³/cell

***

Compound: Tb2CeNpAs4
Source: the Alexandria database
Functional: PBE
Structure: optimized geometry

Lattice parameters (Å, degrees): 4.143 7.179 7.205 109.43 90.00 90.00
Each line ends with the local moment (μB).
Fractional positions:
Tb1 0.500 0.000 0.500  0.02
Tb2 0.000 0.500 0.500  0.01
Ce1 0.500 0.500 0.000  0.59
Np1 0.000 0.000 0.000  3.73
As1 0.500 0.246 0.249  -0.06
As2 0.500 0.754 0.751  -0.06
As3 0.000 0.247 0.749  -0.04
As4 0.000 0.753 0.251  -0.04

Results
Total moment: 4.509 Bohr magnetons per cell
SG: No. 10
Energy of formation from the pure elements: -1294 meV per atom
Calculated volume: 202.1 Å³/cell

***

Compound: TbCeNp2As4
Source: the Alexandria database
Functional: PBE
Structure: optimized geometry

Lattice parameters (Å, degrees): 4.141 7.179 7.182 109.43 90.00 90.00
Each line ends with the local moment (μB).
Fractional positions:
Tb1 0.000 0.000 0.000  0.01
Ce1 0.500 0.500 0.000  0.64
Np1 0.500 0.000 0.500  3.71
Np2 0.000 0.500 0.500  3.75
As1 0.500 0.250 0.255  -0.07
As2 0.500 0.750 0.745  -0.07
As3 0.000 0.246 0.744  -0.07
As4 0.000 0.754 0.256  -0.07

Results
Total moment: 8.478 Bohr magnetons per cell
SG: No. 10
Energy of formation from the pure elements: -1078 meV per atom
Calculated volume: 201.3 Å³/cell